# CaPBr, optimized geometry, DFT PBE
# * E_form (uncorrected): -1.8 eV per formula unit
# * ΔE to the lowest computed polymorph: 0.6741 eV/atom
# * density of states at the Fermi level: 0.36 states/eV per atom
# * M_tot: 0.000 μB/f.u.
# * V: 87 Å³/f.u.
data_CaPBr
_chemical_formula_sum 'Ca2 P2 Br2'
_cell_length_a 3.384
_cell_length_b 3.384
_cell_length_c 15.245
_cell_angle_alpha 90.00
_cell_angle_beta 90.00
_cell_angle_gamma 90.00
_space_group_name_H-M_alt 'I 4 m m'
_space_group_IT_number 107
_space_group_name_Hall 'I 4 -2'
loop_
_atom_site_label
_atom_site_fract_x
_atom_site_fract_y
_atom_site_fract_z
Ca1 0.000 0.000 0.000
P1 0.000 0.000 0.634
Br1 0.000 0.000 0.389